Here is a relaxed Ga2Co3Re crystal from Alexandria. Energies are from PBE.

Unit cell a=2.7045 b=2.7045 c=9.9940 alpha=90.00 beta=90.00 gamma=90.00
Last column: nearest neighbours and their distance in Å.
Fractional coordinates of all 6 atoms:
Ga1 0.0000 0.0000 0.1602  8 Co 2.49-2.53, 4 Ga 2.70
Ga2 0.0000 0.0000 0.8398  8 Co 2.49-2.53, 4 Ga 2.70
Co1 0.5000 0.5000 0.0000  8 Ga 2.49, 4 Co 2.70
Co2 0.5000 0.5000 0.3264  4 Ga 2.53, 4 Re 2.58, 4 Co 2.70
Co3 0.5000 0.5000 0.6736  4 Ga 2.53, 4 Re 2.58, 4 Co 2.70
Re1 0.0000 0.0000 0.5000  8 Co 2.58, 4 Re 2.70

Total energy, eV/atom: -6.81
DOS at the Fermi energy, states/eV/cell: 5.17
Total magnetization, μB/cell: 0.000